# PBE CrAsPbN2, optimized geometry
data_CrAsPbN2
_cell_length_a 3.8483
_cell_length_b 3.8483
_cell_length_c 6.1293
_cell_angle_alpha 90.00
_cell_angle_beta 90.00
_cell_angle_gamma 90.00
_symmetry_space_group_name_H-M 'P 4/m m m'
_symmetry_Int_Tables_number 123
_symmetry_space_group_name_Hall '-P 4 2'
loop_
_atom_site_label
_atom_site_type_symbol
_atom_site_fract_x
_atom_site_fract_y
_atom_site_fract_z
Cr1 Cr 0.0000 0.0000 0.0000
As1 As 0.5000 0.5000 0.5000
Pb1 Pb 0.5000 0.5000 0.0000
N1 N 0.0000 0.5000 0.5000
# Calculated density: 6.62 g/cm³
# Raw formation energy: 1.62 eV/atom
# M_tot: 0.6268 μB/atom
# Calculated total energy: -26.52 eV/cell